An optimized crystal structure of U3GeC. Source: the Alexandria database, functional GGA-PBE.

It has space group P6_3/mmc (No. 194), with a = 6.1268 Å, b = 6.1268 Å, c = 5.4660 Å, α = 90.00°, β = 90.00° and γ = 120.00°. Symmetry generates all atoms from U at (0.1852, 0.3703, 0.2500), Ge at (0.3333, 0.6667, 0.7500) and C at (0.0000, 0.0000, 0.0000).

The value obtained for the formation energy from the elements is -0.242 eV per atom.

---

An optimized crystal structure of CeHoTe2O. Source: the Alexandria database, functional GGA-PBE.

It has space group P4/nmm (No. 129, origin choice 2), with a = 4.2013 Å, b = 4.2013 Å, c = 15.4049 Å, α = 90.00°, β = 90.00° and γ = 90.00°. Symmetry generates all atoms from Ce at (0.2500, 0.2500, 0.0740), Ho at (0.2500, 0.2500, 0.6224), Te at (0.2500, 0.2500, 0.4103), Te at (0.2500, 0.2500, 0.8124) and O at (0.2500, 0.7500, 0.0000).

The formation energy from raw total energies is -2.063 eV/atom.

---

An optimized crystal structure of K2TlHg. Source: the Alexandria database, functional GGA-PBE.

It has space group P2/m (No. 10), with a = 4.1940 Å, b = 4.5126 Å, c = 8.1190 Å, α = 90.00°, β = 90.74° and γ = 90.00°. Symmetry generates all atoms from K at (0.0016, 0.0000, 0.2527), Tl at (0.5000, 0.5000, 0.0000) and Hg at (0.5000, 0.5000, 0.5000).

The value obtained for the formation energy from the elements is -0.098 eV per atom. The offset from the most stable computed form comes out at 47 meV/atom.